# 1
VASP calculation (PBE) on an optimized crystal structure of VGaN2.

The structure in POSCAR format:
```
VGaN2
1.0
4.578 0.000 0.000
0.000 4.578 0.000
0.000 0.000 9.033
V Ga N
4 4 8
Cartesian
0.000 0.000 0.000 V
0.000 2.289 2.258 V
2.289 0.000 6.775 V
2.289 2.289 4.517 V
0.000 0.000 4.517 Ga
0.000 2.289 6.775 Ga
2.289 0.000 2.258 Ga
2.289 2.289 0.000 Ga
1.135 1.144 1.129 N
1.144 3.424 3.388 N
1.144 3.442 7.904 N
1.153 1.144 5.646 N
3.424 3.433 5.646 N
3.433 1.135 7.904 N
3.433 1.153 3.388 N
3.442 3.433 1.129 N
```

Summary:
- electronic total energy (eV per atom) = -7.64
- E_form (uncorrected) (meV/atom) = -437
- SG = No. 122


# 2
VASP calculation (PBE) on an optimized crystal structure of Zn2SbIr.

The structure in POSCAR format:
```
Zn2SbIr
1.0
7.866 0.000 0.000
0.000 7.866 0.000
0.000 0.000 5.087
Zn Sb Ir
8 4 4
Cartesian
1.553 1.966 0.636 Zn
1.966 5.486 1.908 Zn
1.966 6.313 4.452 Zn
2.380 1.966 3.180 Zn
5.486 5.899 3.180 Zn
5.899 1.553 4.452 Zn
5.899 2.380 1.908 Zn
6.313 5.899 0.636 Zn
0.000 0.000 2.544 Sb
0.000 3.933 3.816 Sb
3.933 0.000 1.272 Sb
3.933 3.933 0.000 Sb
0.000 0.000 0.000 Ir
0.000 3.933 1.272 Ir
3.933 0.000 3.816 Ir
3.933 3.933 2.544 Ir
```

Summary:
- offset from the most stable computed form (meV per atom) = 296.7
- electronic total energy (eV per atom) = -3.61
- E_form (uncorrected) (meV/atom) = 273
- SG = No. 122


# 3
VASP calculation (PBE) on an optimized crystal structure of BiRuW3.

The structure in POSCAR format:
```
BiRuW3
1.0
4.916 0.000 0.000
0.000 4.916 0.000
0.000 0.000 4.916
Bi Ru W
1 1 3
Cartesian
0.000 0.000 0.000 Bi
2.458 2.458 2.458 Ru
0.000 0.000 2.458 W
0.000 2.458 0.000 W
2.458 0.000 0.000 W
```

Summary:
- ΔE_f (meV/atom) = 3490
- electronic total energy (eV per atom) = -6.91
- SG = No. 221


# 4
VASP calculation (PBE) on an optimized crystal structure of RbOsS2.

The structure in POSCAR format:
```
RbOsS2
1.0
7.269 0.000 0.000
0.000 7.269 0.000
0.000 0.000 7.854
Rb Os S
4 4 8
Cartesian
0.000 0.000 0.000 Rb
0.000 3.635 1.963 Rb
3.635 0.000 5.890 Rb
3.635 3.635 3.927 Rb
0.000 0.000 3.927 Os
0.000 3.635 5.890 Os
3.635 0.000 1.963 Os
3.635 3.635 0.000 Os
0.889 1.817 4.909 S
1.817 4.524 6.872 S
1.817 6.380 2.945 S
2.746 1.817 0.982 S
4.524 5.452 0.982 S
5.452 0.889 2.945 S
5.452 2.746 6.872 S
6.380 5.452 4.909 S
```

Summary:
- electronic total energy (eV per atom) = -5.55
- E_form (uncorrected) (meV/atom) = -439
- SG = No. 122


# 5
VASP calculation (PBE) on an optimized crystal structure of KAsPt2.

The structure in POSCAR format:
```
KAsPt2
1.0
9.762 0.000 0.000
0.000 3.571 0.000
-2.196 0.000 5.772
K As Pt
2 2 4
Cartesian
0.000 0.000 0.000 K
4.881 1.785 0.000 K
0.439 0.000 3.533 As
5.320 1.785 3.533 As
1.779 1.785 2.532 Pt
3.846 0.000 2.695 Pt
6.660 0.000 2.532 Pt
8.727 1.785 2.695 Pt
```

Summary:
- ΔE_f (meV/atom) = -305
- electronic total energy (eV per atom) = -4.76
- SG = No. 8


# 6
VASP calculation (PBE) on an optimized crystal structure of BaMoPb2.

The structure in POSCAR format:
```
BaMoPb2
1.0
3.826 0.000 0.000
0.000 3.826 0.000
0.000 0.000 8.283
Ba Mo Pb
1 1 2
Cartesian
0.000 0.000 0.000 Ba
1.913 1.913 2.647 Mo
0.000 0.000 3.460 Pb
1.913 1.913 5.603 Pb
```

Summary:
- ΔE_f (meV/atom) = 460
- offset from the most stable computed form (meV per atom) = 215.7
- electronic total energy (eV per atom) = -4.58
- SG = No. 99


# 7
VASP calculation (PBE) on an optimized crystal structure of Pr8TlHg2.

The structure in POSCAR format:
```
Pr8TlHg2
1.0
9.014 -2.601 0.000
9.014 2.601 0.000
-3.387 0.000 7.602
Pr Tl Hg
8 1 2
Cartesian
-0.149 0.000 1.952 Pr
0.607 0.000 5.812 Pr
3.990 0.000 4.128 Pr
7.222 0.000 0.317 Pr
7.419 0.000 7.285 Pr
10.651 0.000 3.474 Pr
14.034 0.000 1.790 Pr
14.789 0.000 5.650 Pr
7.320 0.000 3.801 Tl
2.969 0.000 1.200 Hg
11.672 0.000 6.402 Hg
```

Summary:
- ΔE_f (meV/atom) = -219
- electronic total energy (eV per atom) = -3.96
- SG = No. 12


# 8
VASP calculation (PBE) on an optimized crystal structure of La14TlIn.

The structure in POSCAR format:
```
La14TlIn
1.0
7.235 0.000 0.000
0.000 7.235 0.000
0.000 0.000 10.532
La Tl In
14 1 1
Cartesian
0.000 0.000 0.000 La
0.000 3.618 0.000 La
0.000 3.618 5.266 La
1.802 1.802 2.707 La
1.802 1.802 7.825 La
1.802 5.433 2.707 La
1.802 5.433 7.825 La
3.618 0.000 0.000 La
3.618 0.000 5.266 La
3.618 3.618 0.000 La
5.433 1.802 2.707 La
5.433 1.802 7.825 La
5.433 5.433 2.707 La
5.433 5.433 7.825 La
3.618 3.618 5.266 Tl
0.000 0.000 5.266 In
```

Summary:
- ΔE_f (meV/atom) = -120
- electronic total energy (eV per atom) = -4.75
- SG = No. 123